Entry from Alexandria via LeMat-Bulk: an optimized crystal structure of Li3Zn5Br12 (PBE-GGA).

Cell: 16.476 16.476 16.476 Å, 90.00 90.00 90.00°
Space group Ia-3d (No. 230)
Inequivalent atoms, fractional coordinates:
1 Li 0.000 0.250 0.125 [24 per cell]
2 Zn 0.000 0.000 0.000 [16 per cell]
3 Zn 0.000 0.250 0.375 [24 per cell]
4 Br 0.028 0.058 0.652 [96 per cell]

Output
E_form (uncorrected)	-17.68	eV/f.u.
total moment	0.00	μB per formula unit
calculated total energy	-398.9	eV per cell

=====

Entry from Alexandria via LeMat-Bulk: an optimized crystal structure of SmHo5Tl6 (PBE-GGA).

Cell: 9.260 16.141 5.368 Å, 90.00 125.25 90.00°
Space group C2/m (No. 12)
Inequivalent atoms, fractional coordinates:
1 Sm 0.000 0.000 0.000 [2 per cell]
2 Ho 0.000 0.165 0.500 [4 per cell]
3 Ho 0.000 0.333 0.000 [4 per cell]
4 Ho 0.000 0.500 0.500 [2 per cell]
5 Tl 0.244 0.500 0.244 [4 per cell]
6 Tl 0.247 0.331 0.747 [8 per cell]

Output
total moment	0.00	μB per formula unit
energy relative to the lowest polymorph listed for this composition	0	meV per atom
calculated total energy	-91.6	eV per cell

=====

Entry from Alexandria via LeMat-Bulk: an optimized crystal structure of Tb3Mg5Ag2 (PBE-GGA).

Cell: 10.336 10.336 4.551 Å, 90.00 90.00 90.00°
Space group P4/mbm (No. 127)
Inequivalent atoms, fractional coordinates:
1 Tb 0.000 0.000 0.000 [2 per cell]
2 Tb 0.178 0.322 0.000 [4 per cell]
3 Mg 0.000 0.500 0.500 [2 per cell]
4 Mg 0.067 0.787 0.500 [8 per cell]
5 Ag 0.117 0.617 0.000 [4 per cell]

Output
total moment	0.00	μB per formula unit
energy relative to the lowest polymorph listed for this composition	0	meV per atom
calculated total energy	-58.8	eV per cell

=====

Entry from Alexandria via LeMat-Bulk: an optimized crystal structure of AcBiPbN (PBE-GGA).

Cell: 3.804 3.804 14.958 Å, 90.00 90.00 90.00°
Space group I4mm (No. 107)
Inequivalent atoms, fractional coordinates:
1 Ac 0.000 0.000 0.000 [2 per cell]
2 Bi 0.000 0.000 0.335 [2 per cell]
3 Pb 0.000 0.000 0.677 [2 per cell]
4 N 0.000 0.000 0.504 [2 per cell]

Output
E_form (uncorrected)	-1.50	eV/f.u.
total moment	0.00	μB per formula unit
calculated total energy	-43.0	eV per cell